DFT (PBE+U) results for crystalline RbNaCr2O6 at its relaxed geometry.

Cell: 5.106 8.413 8.413 Å, 97.37 87.55 87.55°
Sites, in units of the cell vectors:
O (0.073, 0.292, 0.380)
Cr (0.242, 0.370, 0.212)
Cr (0.742, 0.212, 0.370)
Cr (0.258, 0.788, 0.630)
Cr (0.758, 0.630, 0.788)
Na (0.750, 0.635, 0.365)
Rb (0.750, 0.124, 0.876)
O (0.252, 0.949, 0.764)
O (0.248, 0.236, 0.051)
Na (0.250, 0.365, 0.635)
O (0.623, 0.202, 0.554)
O (0.752, 0.764, 0.949)
Rb (0.250, 0.876, 0.124)
O (0.123, 0.554, 0.202)
O (0.573, 0.380, 0.292)
O (0.377, 0.798, 0.446)
O (0.877, 0.446, 0.798)
O (0.927, 0.708, 0.620)
O (0.427, 0.620, 0.708)
O (0.748, 0.051, 0.236)

Crystal system: monoclinic
Calculated total energy in Ha/atom: -0.2290